Crystalline Be2ZnF at its relaxed geometry, computed with PBE.

```
data_Be2ZnF
_chemical_formula_sum 'Be8 Zn4 F4'
_space_group_name_H-M_alt 'I -4 2 d'
_space_group_IT_number 122
_space_group_name_Hall 'I -4 2bw'
_cell_length_a 4.954
_cell_length_b 4.954
_cell_length_c 8.076
_cell_angle_alpha 90.00
_cell_angle_beta 90.00
_cell_angle_gamma 90.00
loop_
_atom_site_label
_atom_site_type_symbol
_atom_site_fract_x
_atom_site_fract_y
_atom_site_fract_z
Be1 Be 0.169 0.250 0.125
Zn1 Zn 0.000 0.000 0.500
F1 F 0.000 0.000 0.000
```

Computed properties:
Theoretical density, g cm⁻³: 3.4
Energy above the lowest structure with this stoichiometry, eV per atom: 0.000
Total magnetic moment, μB/cell: 0.00
Energy relative to the elements, uncorrected, meV per atom: -220.5



Crystalline Be3ZnF at its relaxed geometry, computed with PBE.

```
data_Be3ZnF
_chemical_formula_sum 'Be3 Zn1 F1'
_space_group_name_H-M_alt 'P m -3 m'
_space_group_IT_number 221
_space_group_name_Hall '-P 4 2 3'
_cell_length_a 3.762
_cell_length_b 3.762
_cell_length_c 3.762
_cell_angle_alpha 90.00
_cell_angle_beta 90.00
_cell_angle_gamma 90.00
loop_
_atom_site_label
_atom_site_type_symbol
_atom_site_fract_x
_atom_site_fract_y
_atom_site_fract_z
Be1 Be 0.000 0.000 0.500
Zn1 Zn 0.500 0.500 0.500
F1 F 0.000 0.000 0.000
```

Computed properties:
Theoretical density, g cm⁻³: 3.5
Energy above the lowest structure with this stoichiometry, eV per atom: 0.000
Total magnetic moment, μB/cell: 0.00
Energy relative to the elements, uncorrected, meV per atom: 146.1



Crystalline Be3ZnF at its relaxed geometry, computed with PBE.

```
data_Be3ZnF
_chemical_formula_sum 'Be3 Zn1 F1'
_space_group_name_H-M_alt 'P m -3 m'
_space_group_IT_number 221
_space_group_name_Hall '-P 4 2 3'
_cell_length_a 4.216
_cell_length_b 4.216
_cell_length_c 4.216
_cell_angle_alpha 90.00
_cell_angle_beta 90.00
_cell_angle_gamma 90.00
loop_
_atom_site_label
_atom_site_type_symbol
_atom_site_fract_x
_atom_site_fract_y
_atom_site_fract_z
Be1 Be 0.000 0.000 0.500
Zn1 Zn 0.000 0.000 0.000
F1 F 0.500 0.500 0.500
```

Computed properties:
Theoretical density, g cm⁻³: 2.5
Energy above the lowest structure with this stoichiometry, eV per atom: 0.407
Total magnetic moment, μB/cell: 0.00
Energy relative to the elements, uncorrected, meV per atom: 553.3



Repeat the second record exactly.
Crystalline Be3ZnF at its relaxed geometry, computed with PBE.

```
data_Be3ZnF
_chemical_formula_sum 'Be3 Zn1 F1'
_space_group_name_H-M_alt 'P m -3 m'
_space_group_IT_number 221
_space_group_name_Hall '-P 4 2 3'
_cell_length_a 3.762
_cell_length_b 3.762
_cell_length_c 3.762
_cell_angle_alpha 90.00
_cell_angle_beta 90.00
_cell_angle_gamma 90.00
loop_
_atom_site_label
_atom_site_type_symbol
_atom_site_fract_x
_atom_site_fract_y
_atom_site_fract_z
Be1 Be 0.000 0.000 0.500
Zn1 Zn 0.500 0.500 0.500
F1 F 0.000 0.000 0.000
```

Computed properties:
Theoretical density, g cm⁻³: 3.5
Energy above the lowest structure with this stoichiometry, eV per atom: 0.000
Total magnetic moment, μB/cell: 0.00
Energy relative to the elements, uncorrected, meV per atom: 146.1